No. 1
VASP calculation (PBE) on an optimized crystal structure of La2NdHoTm.

Structure (POSCAR):
```
La2NdHoTm
1.0
7.386 0.000 0.000
0.000 8.516 0.000
0.000 -4.258 5.840
Nd La Ho Tm
2 4 2 2
Cartesian
5.540 0.000 3.225 Nd
1.847 4.258 2.616 Nd
0.000 5.931 0.000 La
3.693 2.585 0.000 La
0.000 2.585 0.000 La
3.693 5.931 0.000 La
1.847 0.000 3.044 Ho
5.540 4.258 2.796 Ho
1.847 4.258 5.708 Tm
5.540 0.000 0.133 Tm
```

Values from the calculation:
- V: 36.73 A^3/atom
- DOS at the Fermi energy: 14.10 states/eV/cell
- ΔH_f (0 K): 0.3882 eV/atom
- Total moment: 0.00 μB per formula unit

---

No. 2
VASP calculation (PBE) on an optimized crystal structure of LaNd2Ho5Tm.

Structure (POSCAR):
```
LaNd2Ho5Tm
1.0
8.749 0.000 0.000
0.000 8.749 0.000
-4.375 -4.375 7.753
Ho Tm Nd La
10 2 4 2
Cartesian
2.543 1.831 2.123 Ho
2.543 -1.831 5.630 Ho
-1.831 -2.543 5.630 Ho
1.831 2.543 5.630 Ho
4.375 4.375 0.000 Ho
6.206 6.918 2.123 Ho
1.831 6.206 2.123 Ho
-2.543 1.831 5.630 Ho
6.918 2.543 2.123 Ho
0.000 0.000 0.000 Ho
4.375 0.000 3.876 Tm
0.000 4.375 3.876 Tm
7.725 5.399 0.000 Nd
3.350 7.725 0.000 Nd
5.399 1.024 0.000 Nd
1.024 3.350 0.000 Nd
4.375 4.375 3.876 La
0.000 0.000 3.876 La
```

Values from the calculation:
- V: 32.97 A^3/atom
- DOS at the Fermi energy: 20.73 states/eV/cell
- ΔH_f (0 K): 0.2647 eV/atom
- Total moment: 0.00 μB per formula unit

---

No. 3
VASP calculation (PBE) on an optimized crystal structure of LaNd4HoTm2.

Structure (POSCAR):
```
LaNd4HoTm2
1.0
5.137 0.000 0.000
2.569 5.682 -0.569
2.569 -0.148 9.237
Nd Ho Tm La
4 1 2 1
Cartesian
7.706 4.917 2.980 Nd
2.569 0.617 5.688 Nd
5.137 2.003 7.844 Nd
5.137 3.531 0.823 Nd
5.137 2.767 4.334 Ho
7.706 4.128 6.469 Tm
2.569 1.406 2.198 Tm
0.000 0.000 0.000 La
```

Values from the calculation:
- V: 33.65 A^3/atom
- DOS at the Fermi energy: 12.06 states/eV/cell
- ΔH_f (0 K): 0.0231 eV/atom
- Total moment: 0.00 μB per formula unit

---

No. 4
VASP calculation (PBE) on an optimized crystal structure of LaNdHoTm2.

Structure (POSCAR):
```
LaNdHoTm2
1.0
-1.168 5.839 4.060
3.197 -4.009 6.685
3.646 3.976 -4.669
Ho La Tm Nd
2 2 4 2
Cartesian
2.986 3.225 5.815 Ho
2.690 2.581 0.261 Ho
1.911 5.426 2.340 La
3.765 0.379 3.736 La
1.611 0.167 6.619 Tm
2.195 -2.752 4.589 Tm
1.002 -1.257 2.096 Tm
0.419 1.662 4.126 Tm
5.960 4.343 5.063 Nd
-0.285 1.462 1.013 Nd
```

Values from the calculation:
- V: 34.96 A^3/atom
- DOS at the Fermi energy: 15.86 states/eV/cell
- ΔH_f (0 K): 0.3560 eV/atom
- Total moment: 0.00 μB per formula unit

---

No. 5
VASP calculation (PBE) on an optimized crystal structure of LaNd5YHo2.

Structure (POSCAR):
```
LaNd5YHo2
1.0
-1.919 -0.300 -5.398
8.159 -6.682 0.519
-6.670 -7.926 2.811
Nd Ho Y La
10 4 2 2
Cartesian
-3.230 -9.595 -1.368 Nd
1.975 -12.433 -0.012 Nd
-0.445 -9.662 0.695 Nd
-2.281 -2.328 -2.109 Nd
2.505 -10.891 -3.334 Nd
1.950 -6.323 -0.342 Nd
5.399 -5.454 -1.616 Nd
0.583 -4.571 -3.002 Nd
0.095 -0.417 -0.011 Nd
-2.803 -5.858 -1.727 Nd
-3.255 -7.362 1.566 Ho
3.050 -7.278 -3.728 Ho
-0.890 -11.895 -2.071 Ho
-0.465 -4.112 0.393 Ho
-0.047 -8.305 -2.570 Y
2.801 -2.820 -0.839 Y
2.971 -9.262 -0.542 La
-6.094 -8.847 -0.391 La
```

Values from the calculation:
- V: 34.76 A^3/atom
- DOS at the Fermi energy: 28.72 states/eV/cell
- ΔH_f (0 K): 0.1472 eV/atom
- Total moment: 0.00 μB per formula unit

---

No. 6
VASP calculation (PBE) on an optimized crystal structure of La2Nd4Y2Ho.

Structure (POSCAR):
```
La2Nd4Y2Ho
1.0
3.694 0.000 0.000
-1.847 9.537 -0.492
0.000 -3.779 9.031
Y Nd La Ho
2 4 2 1
Cartesian
1.847 5.465 2.669 Y
0.000 0.294 5.870 Y
1.847 3.480 5.705 Nd
1.847 -0.907 2.999 Nd
0.000 6.666 5.540 Nd
0.000 2.279 2.835 Nd
1.847 -0.627 8.867 La
0.000 6.386 -0.328 La
0.000 0.000 0.000 Ho
```

Values from the calculation:
- V: 34.59 A^3/atom
- DOS at the Fermi energy: 12.73 states/eV/cell
- ΔH_f (0 K): 0.0059 eV/atom
- Total moment: 0.00 μB per formula unit

---

No. 7
VASP calculation (PBE) on an optimized crystal structure of La2Nd6YHo3.

Structure (POSCAR):
```
La2Nd6YHo3
1.0
-2.287 5.704 -1.495
-3.249 -3.794 3.879
7.480 4.062 8.518
Nd Ho La Y
6 3 2 1
Cartesian
1.586 6.034 7.234 Nd
1.266 2.875 9.021 Nd
-2.254 2.475 3.970 Nd
0.357 -0.063 3.667 Nd
4.197 3.496 6.931 Nd
0.677 3.097 1.880 Nd
0.651 -0.183 7.244 Ho
1.293 6.154 3.658 Ho
0.972 2.986 5.451 Ho
-2.929 -0.628 2.087 La
-2.608 2.538 0.296 La
0.000 0.000 0.000 Y
```

Values from the calculation:
- V: 34.22 A^3/atom
- DOS at the Fermi energy: 16.81 states/eV/cell
- ΔH_f (0 K): 0.0184 eV/atom
- Total moment: 0.00 μB per formula unit

---

No. 8
VASP calculation (PBE) on an optimized crystal structure of LaNd5Y2Ho.

Structure (POSCAR):
```
LaNd5Y2Ho
1.0
-0.579 3.892 -4.205
-9.792 -1.962 3.477
0.966 7.892 7.173
Ho Nd Y La
2 10 4 2
Cartesian
-4.034 0.076 0.626 Ho
-5.835 5.965 2.382 Ho
-0.342 0.184 0.218 Nd
-9.501 6.063 2.977 Nd
-5.364 2.467 3.023 Nd
-5.289 5.557 5.872 Nd
-7.767 0.172 1.229 Nd
-0.449 3.853 -0.316 Nd
-4.203 3.559 -0.070 Nd
-2.076 6.073 1.964 Nd
-8.973 5.839 6.641 Nd
-3.918 8.362 4.336 Nd
-1.576 5.779 5.567 Y
-7.244 8.407 4.836 Y
-7.863 3.771 0.630 Y
-2.026 2.523 2.615 Y
-7.939 3.566 4.395 La
-1.074 9.469 4.969 La
```

Values from the calculation:
- V: 34.86 A^3/atom
- DOS at the Fermi energy: 29.01 states/eV/cell
- ΔH_f (0 K): 0.1439 eV/atom
- Total moment: 0.00 μB per formula unit

---

No. 9
VASP calculation (PBE) on an optimized crystal structure of La3Nd6Y2Ho.

Structure (POSCAR):
```
La3Nd6Y2Ho
1.0
6.361 -0.004 0.005
-3.182 5.508 0.005
-1.074 -1.859 11.941
Nd Ho La Y
6 1 3 2
Cartesian
-1.060 1.826 2.919 Nd
2.111 -0.006 2.919 Nd
3.165 1.819 9.033 Nd
-0.006 3.651 9.033 Nd
-0.014 -0.025 9.027 Nd
2.119 3.670 2.925 Nd
0.000 0.000 0.000 Ho
4.234 -0.015 5.976 La
-2.129 3.660 5.976 La
1.053 1.822 5.976 La
-0.001 3.671 0.005 Y
3.180 1.833 0.005 Y
```

Values from the calculation:
- V: 34.86 A^3/atom
- DOS at the Fermi energy: 19.49 states/eV/cell
- ΔH_f (0 K): 0.0175 eV/atom
- Total moment: 0.00 μB per formula unit

---

No. 10
VASP calculation (PBE) on an optimized crystal structure of LaNd2YHo2.

Structure (POSCAR):
```
LaNd2YHo2
1.0
-2.647 0.202 -5.049
5.880 -7.276 -3.373
-4.675 -4.826 2.258
Y Ho Nd La
2 4 4 2
Cartesian
-2.338 -2.413 1.129 Y
1.617 -3.537 -4.211 Y
-1.548 -6.047 0.570 Ho
-1.515 -2.319 -2.521 Ho
2.753 -6.054 -1.685 Ho
0.073 -9.580 -3.643 Ho
0.401 -8.486 -0.549 Nd
0.804 -3.615 -0.566 Nd
2.392 -7.181 -4.763 Nd
-3.834 -4.718 -1.401 Nd
-0.721 -5.950 -3.082 La
0.000 0.000 0.000 La
```

Values from the calculation:
- V: 33.51 A^3/atom
- DOS at the Fermi energy: 18.37 states/eV/cell
- ΔH_f (0 K): 0.0580 eV/atom
- Total moment: 0.00 μB per formula unit

---

No. 11
VASP calculation (PBE) on an optimized crystal structure of LaNd3Y2Ho6.

Structure (POSCAR):
```
LaNd3Y2Ho6
1.0
6.226 0.000 0.009
-3.112 5.393 0.009
-1.053 -1.823 11.675
Ho Y Nd La
6 2 3 1
Cartesian
-1.042 1.796 2.920 Ho
2.071 3.586 2.931 Ho
-0.009 -0.016 8.764 Ho
2.076 -0.005 2.920 Ho
3.103 1.774 8.775 Ho
-0.014 3.574 8.775 Ho
3.114 1.797 0.009 Y
0.000 3.595 0.009 Y
1.031 1.785 5.847 Nd
-2.078 3.580 5.847 Nd
4.140 -0.011 5.847 Nd
0.000 0.000 0.000 La
```

Values from the calculation:
- V: 32.68 A^3/atom
- DOS at the Fermi energy: 15.47 states/eV/cell
- ΔH_f (0 K): 0.0196 eV/atom
- Total moment: 0.00 μB per formula unit

---

No. 12
VASP calculation (PBE) on an optimized crystal structure of LaNd2Y6Ho3.

Structure (POSCAR):
```
LaNd2Y6Ho3
1.0
-4.252 -3.984 -2.208
4.245 2.464 -3.838
7.209 -8.426 4.246
La Nd Y Ho
1 2 6 3
Cartesian
0.000 0.000 0.000 La
1.412 0.314 -3.294 Nd
-1.419 -1.834 -2.751 Nd
3.950 -8.493 -1.082 Y
5.371 -6.657 1.663 Y
3.252 -1.453 -0.718 Y
0.415 -3.606 -0.173 Y
1.831 -3.289 -3.462 Y
6.787 -6.340 -1.626 Y
0.770 -7.121 -0.356 Ho
6.432 -2.824 -1.443 Ho
3.601 -4.973 -0.900 Ho
```

Values from the calculation:
- V: 32.77 A^3/atom
- DOS at the Fermi energy: 17.26 states/eV/cell
- ΔH_f (0 K): 0.0207 eV/atom
- Total moment: 0.00 μB per formula unit

---

Among the records above, which one has the highest V? La2NdHoTm

---

Among the records above, which one has the lowest V? LaNd3Y2Ho6

---

The lowest V belongs to which entry? LaNd3Y2Ho6